[1]
Here is a geometry-optimized BaTa2Cu structure from the Alexandria database. Energies are from PBE-GGA.

## Properties
Space group = Immm (71)
Total energy = -6.70 eV per atom
Calculated formation energy = 728 meV/atom
Energy relative to the lowest polymorph listed for this composition = 0.90 eV/f.u.

Lattice parameters (Å, degrees): 6.4740 6.4740 5.0131 67.17 67.17 26.97
Atoms (fractional coordinates):
1 Ba 0.7500 0.7500 0.7500
2 Cu 0.2500 0.2500 0.2500
3 Ta 0.9637 0.9637 0.0361
4 Ta 0.5363 0.5363 0.4639

=====

[2]
Here is a geometry-optimized BaInRu structure from the Alexandria database. Energies are from PBE-GGA.

## Properties
Space group = F-43m (216)
Total energy = -4.29 eV per atom
Calculated formation energy = 353 meV/atom

Lattice parameters (Å, degrees): 4.9502 4.9502 4.9502 60.00 60.00 60.00
Atoms (fractional coordinates):
1 Ba 0.0000 0.0000 0.0000
2 In 0.5000 0.5000 0.5000
3 Ru 0.7500 0.7500 0.7500

=====

[3]
Here is a geometry-optimized KCaCo2Br8 structure from the Alexandria database. Energies are from PBE-GGA.

## Properties
ΔE_f (raw) = -0.939 eV per atom
Space group = R-3 (148)
Total energy = -3.50 eV per atom

Lattice parameters (Å, degrees): 6.8561 6.8561 10.6685 71.26 71.26 60.00
Atoms (fractional coordinates):
1 K 0.5000 0.5000 0.5000
2 Ca 0.0000 0.0000 0.0000
3 Co 0.2500 0.2500 0.2501
4 Co 0.7500 0.7500 0.7499
5 Br 0.1719 0.1719 0.4844
6 Br 0.5976 0.2874 0.1762
7 Br 0.8281 0.8281 0.5156
8 Br 0.9388 0.5976 0.1762
9 Br 0.0612 0.4024 0.8238
10 Br 0.2874 0.9388 0.1762
11 Br 0.7126 0.0612 0.8238
12 Br 0.4024 0.7126 0.8238

=====

[4]
Here is a geometry-optimized LiPdSe2Br structure from the Alexandria database. Energies are from PBE-GGA.

## Properties
ΔE_f (raw) = -0.121 eV per atom
Space group = P4/mmm (123)
Total energy = -3.27 eV per atom
Energy relative to the lowest polymorph listed for this composition = 0.00 eV/f.u.

Lattice parameters (Å, degrees): 4.9533 4.9533 5.3781 90.00 90.00 90.00
Atoms (fractional coordinates):
1 Se 0.0000 0.5000 0.0000
2 Se 0.5000 0.0000 0.0000
3 Br 0.0000 0.0000 0.5000
4 Pd 0.0000 0.0000 0.0000
5 Li 0.5000 0.5000 0.5000

=====

Q: The lowest total energy belongs to which entry?
A: BaTa2Cu